Entry i
The following is a DFT calculation (GGA-PBE) of crystalline PrSmTlGa at its relaxed geometry.

Cell lengths 3.7466, 3.7466, 7.7901 Å; angles 90.00, 90.00, 90.00 degrees
With the nearest neighbours (Å) after each atom.
Space group P4mm (No. 99)
One atom of each set of equivalent atoms:
1 Pr 0.0000 0.0000 0.0000 [1 per cell]  4 Ga 3.24, 4 Tl 3.40
2 Sm 0.0000 0.0000 0.4665 [1 per cell]  4 Ga 3.18, 4 Tl 3.33
3 Tl 0.5000 0.5000 0.7261 [1 per cell]  4 Sm 3.33, 4 Pr 3.40
4 Ga 0.5000 0.5000 0.2405 [1 per cell]  4 Sm 3.18, 4 Pr 3.24

Entry ii
The following is a DFT calculation (GGA-PBE) of crystalline PrSmTlGa at its relaxed geometry.

Cell lengths 7.6049, 7.6049, 7.6049 Å; angles 90.00, 90.00, 90.00 degrees
With the nearest neighbours (Å) after each atom.
Space group F-43m (No. 216)
One atom of each set of equivalent atoms:
1 Pr 0.0000 0.0000 0.0000 [4 per cell]  4 Tl 3.29, 4 Ga 3.29
2 Sm 0.0000 0.0000 0.5000 [4 per cell]  4 Tl 3.29, 4 Ga 3.29
3 Tl 0.2500 0.2500 0.7500 [4 per cell]  4 Pr 3.29, 4 Sm 3.29
4 Ga 0.2500 0.2500 0.2500 [4 per cell]  4 Pr 3.29, 4 Sm 3.29

The structure with the most favorable energy is entry i; the runner-up is 31 meV per atom above it.

Entry i
The following is a DFT calculation (GGA-PBE) of crystalline Pr2GaSn2 at its relaxed geometry.

Cell lengths 11.8124, 4.5625, 11.7981 Å; angles 90.00, 118.07, 90.00 degrees
With the nearest neighbours (Å) after each atom.
Space group C2/m (No. 12)
One atom of each set of equivalent atoms:
1 Pr 0.0933 0.0000 0.4041 [4 per cell]  2 Ga 3.04, 3 Sn 3.27-3.28
2 Pr 0.1987 0.5000 0.1556 [4 per cell]  1 Ga 3.11, 5 Sn 3.29-3.31
3 Ga 0.0311 0.5000 0.7840 [4 per cell]  3 Sn 2.74-2.79, 2 Pr 3.04
4 Sn 0.0713 0.0000 0.9271 [4 per cell]  2 Ga 2.74, 1 Sn 2.92
5 Sn 0.1437 0.5000 0.6226 [4 per cell]  1 Ga 2.79

Entry ii
The following is a DFT calculation (GGA-PBE) of crystalline Pr2GaSn2 at its relaxed geometry.

Cell lengths 4.5781, 18.2670, 6.9901 Å; angles 90.00, 90.00, 90.00 degrees
With the nearest neighbours (Å) after each atom.
Space group Cmc2_1 (No. 36)
One atom of each set of equivalent atoms:
1 Pr 0.0000 0.0096 0.0000 [4 per cell]  2 Ga 3.21, 5 Sn 3.27-3.34, 2 Pr 3.51
2 Pr 0.0000 0.2088 0.3077 [4 per cell]  5 Sn 3.19-3.41
3 Ga 0.0000 0.4039 0.1661 [4 per cell]  3 Sn 2.77-2.81
4 Sn 0.0000 0.1684 0.7841 [4 per cell]  2 Ga 2.77
5 Sn 0.0000 0.4118 0.7645 [4 per cell]  1 Ga 2.81

The structure with the most favorable energy is entry i; the runner-up is 114 meV per atom above it.

Entry i
The following is a DFT calculation (GGA-PBE) of crystalline PrGa2Sn at its relaxed geometry.

Cell lengths 4.5935, 4.5935, 4.4214 Å; angles 90.00, 90.00, 90.00 degrees
With the nearest neighbours (Å) after each atom.
Space group P4/mmm (No. 123)
One atom of each set of equivalent atoms:
1 Pr 0.0000 0.0000 0.0000 [1 per cell]  8 Ga 3.19, 4 Sn 3.25
2 Ga 0.0000 0.5000 0.5000 [2 per cell]  4 Sn 3.19, 4 Pr 3.19, 4 Ga 3.25
3 Sn 0.5000 0.5000 0.0000 [1 per cell]  8 Ga 3.19, 4 Pr 3.25

Entry ii
The following is a DFT calculation (GGA-PBE) of crystalline PrGa2Sn at its relaxed geometry.

Cell lengths 4.6985, 4.6985, 15.4260 Å; angles 90.00, 90.00, 120.00 degrees
With the nearest neighbours (Å) after each atom.
Space group R-3m (No. 166, hexagonal axes)
One atom of each set of equivalent atoms:
1 Pr 0.0000 0.0000 0.0000 [3 per cell]  8 Ga 3.19-3.47
2 Ga 0.0000 0.0000 0.2251 [6 per cell]  3 Sn 2.86, 3 Pr 3.19
3 Sn 0.0000 0.0000 0.5000 [3 per cell]  6 Ga 2.86

The structure with the most favorable energy is entry i; the runner-up is 172 meV per atom above it.

Entry i
The following is a DFT calculation (GGA-PBE) of crystalline TbPrGaSn at its relaxed geometry.

Cell lengths 7.5396, 7.5396, 7.5396 Å; angles 90.00, 90.00, 90.00 degrees
With the nearest neighbours (Å) after each atom.
Space group F-43m (No. 216)
One atom of each set of equivalent atoms:
1 Tb 0.0000 0.0000 0.0000 [4 per cell]  4 Sn 3.26, 4 Ga 3.26
2 Pr 0.0000 0.0000 0.5000 [4 per cell]  4 Ga 3.26, 4 Sn 3.26
3 Ga 0.2500 0.2500 0.2500 [4 per cell]  4 Tb 3.26, 4 Pr 3.26
4 Sn 0.2500 0.2500 0.7500 [4 per cell]  4 Tb 3.26, 4 Pr 3.26

Entry ii
The following is a DFT calculation (GGA-PBE) of crystalline TbPrGaSn at its relaxed geometry.

Cell lengths 4.2309, 4.5690, 11.4443 Å; angles 90.00, 90.00, 90.00 degrees
With the nearest neighbours (Å) after each atom.
Space group Amm2 (No. 38)
One atom of each set of equivalent atoms:
1 Tb 0.0000 0.0000 0.0000 [2 per cell]  3 Ga 3.15-3.44, 4 Sn 3.19
2 Pr 0.5000 0.0000 0.7211 [2 per cell]  4 Ga 3.18, 3 Sn 3.24-3.37
3 Ga 0.0000 0.0000 0.2755 [2 per cell]  2 Sn 2.82, 1 Tb 3.15
4 Sn 0.5000 0.0000 0.4378 [2 per cell]  2 Ga 2.82

The structure with the most favorable energy is entry ii; the runner-up is 151 meV per atom above it.

Entry i
The following is a DFT calculation (GGA-PBE) of crystalline PrTmGaSn at its relaxed geometry.

Cell lengths 4.2023, 4.5353, 11.3385 Å; angles 90.00, 90.00, 90.00 degrees
With the nearest neighbours (Å) after each atom.
Space group Amm2 (No. 38)
One atom of each set of equivalent atoms:
1 Pr 0.0000 0.0000 0.0000 [2 per cell]  4 Ga 3.15, 3 Sn 3.20-3.35
2 Tm 0.5000 0.0000 0.2779 [2 per cell]  3 Ga 3.12-3.41, 4 Sn 3.17
3 Ga 0.5000 0.0000 0.5534 [2 per cell]  2 Sn 2.81, 1 Tm 3.12
4 Sn 0.0000 0.0000 0.7179 [2 per cell]  2 Ga 2.81

Entry ii
The following is a DFT calculation (GGA-PBE) of crystalline PrTmGaSn at its relaxed geometry.

Cell lengths 7.4874, 7.4874, 7.4874 Å; angles 90.00, 90.00, 90.00 degrees
With the nearest neighbours (Å) after each atom.
Space group F-43m (No. 216)
One atom of each set of equivalent atoms:
1 Pr 0.0000 0.0000 0.0000 [4 per cell]  4 Sn 3.24, 4 Ga 3.24
2 Tm 0.0000 0.0000 0.5000 [4 per cell]  4 Sn 3.24, 4 Ga 3.24
3 Ga 0.2500 0.2500 0.2500 [4 per cell]  4 Pr 3.24, 4 Tm 3.24
4 Sn 0.2500 0.2500 0.7500 [4 per cell]  4 Pr 3.24, 4 Tm 3.24

The structure with the most favorable energy is entry i; the runner-up is 150 meV per atom above it.

Entry i
The following is a DFT calculation (GGA-PBE) of crystalline PrYGaSn at its relaxed geometry.

Cell lengths 7.5332, 7.5332, 7.5332 Å; angles 90.00, 90.00, 90.00 degrees
With the nearest neighbours (Å) after each atom.
Space group F-43m (No. 216)
One atom of each set of equivalent atoms:
1 Pr 0.0000 0.0000 0.0000 [4 per cell]  4 Sn 3.26, 4 Ga 3.26
2 Y 0.0000 0.0000 0.5000 [4 per cell]  4 Ga 3.26, 4 Sn 3.26
3 Ga 0.2500 0.2500 0.2500 [4 per cell]  4 Pr 3.26, 4 Y 3.26
4 Sn 0.2500 0.2500 0.7500 [4 per cell]  4 Pr 3.26, 4 Y 3.26

Entry ii
The following is a DFT calculation (GGA-PBE) of crystalline PrYGaSn at its relaxed geometry.

Cell lengths 4.2259, 4.5638, 11.4266 Å; angles 90.00, 90.00, 90.00 degrees
With the nearest neighbours (Å) after each atom.
Space group Amm2 (No. 38)
One atom of each set of equivalent atoms:
1 Pr 0.0000 0.0000 0.0000 [2 per cell]  4 Ga 3.17, 3 Sn 3.23-3.37
2 Y 0.5000 0.0000 0.2787 [2 per cell]  3 Ga 3.15-3.43, 4 Sn 3.19
3 Ga 0.5000 0.0000 0.5542 [2 per cell]  2 Sn 2.81, 1 Y 3.15
4 Sn 0.0000 0.0000 0.7169 [2 per cell]  2 Ga 2.81

The structure with the most favorable energy is entry ii; the runner-up is 158 meV per atom above it.